Entry 1:
DFT (GGA-PBEsol) results for Si2NiRu after structural relaxation.

**Symmetry**: No. 119
**Formation energy without anion corrections**: -436 meV/atom
**V**: 47.4 Å³/f.u.
**M_tot**: 0.00 Bohr magnetons per cell
**Electronic total energy**: -7.391 eV per atom

Unit cell a=3.461 b=3.461 c=4.651 alpha=111.85 beta=111.85 gamma=90.00
Positions (direct):
Ni 0.500 0.500 0.000
Ru 0.250 0.750 0.500
Si 0.000 0.000 0.000
Si 0.750 0.250 0.500

=====

Entry 2:
DFT (GGA-PBEsol) results for SiNiRu2 after structural relaxation.

**Symmetry**: No. 35
**Formation energy without anion corrections**: 126 meV/atom
**V**: 50.4 Å³/f.u.
**M_tot**: 0.10 Bohr magnetons per cell
**Electronic total energy**: -7.936 eV per atom

Unit cell a=2.630 b=2.630 c=8.063 alpha=90.00 beta=90.00 gamma=115.22
Each line ends with the local moment (μB).
Positions (direct):
Ni 0.500 0.500 0.275  0.01
Ru 0.000 0.000 0.008  0.08
Ru 0.500 0.500 0.727  0.01
Si 0.000 0.000 0.491  0.00

=====

Entry 3:
DFT (GGA-PBEsol) results for SrNi2Ru after structural relaxation.

**Symmetry**: No. 38
**V**: 64.2 Å³/f.u.
**M_tot**: 0.00 Bohr magnetons per cell
**Electronic total energy**: -5.648 eV per atom
**E_form**: 1.73 eV/f.u.

Unit cell a=2.765 b=4.113 c=5.812 alpha=90.00 beta=103.75 gamma=90.00
Positions (direct):
Ni 0.836 0.000 0.046
Ni 0.952 0.500 0.280
Ru 0.510 0.000 0.396
Sr 0.202 0.500 0.778

=====

Entry 4:
DFT (GGA-PBEsol) results for Ta2NiRu after structural relaxation.

**Symmetry**: No. 123
**V**: 59.1 Å³/f.u.
**M_tot**: 0.00 Bohr magnetons per cell
**Electronic total energy**: -10.549 eV per atom
**E_form**: -0.76 eV/f.u.

Unit cell a=3.041 b=3.041 c=6.391 alpha=90.00 beta=90.00 gamma=90.00
Positions (direct):
Ni 0.500 0.500 0.000
Ru 0.500 0.500 0.500
Ta 0.000 0.000 0.759
Ta 0.000 0.000 0.241

=====

Entry 5:
DFT (GGA-PBEsol) results for Ta2NiRu after structural relaxation.

**Symmetry**: No. 139
**V**: 58.8 Å³/f.u.
**M_tot**: 0.00 Bohr magnetons per cell
**Electronic total energy**: -10.594 eV per atom
**E_form**: -0.94 eV/f.u.

Unit cell a=4.021 b=4.615 c=4.021 alpha=64.17 beta=90.00 gamma=115.83
Positions (direct):
Ru 0.500 0.000 0.500
Ni 0.000 0.000 0.000
Ta 0.250 0.500 0.250
Ta 0.750 0.500 0.750

=====

Entry 6:
DFT (GGA-PBEsol) results for TaNiRu2 after structural relaxation.

**Symmetry**: No. 166
**V**: 55.6 Å³/f.u.
**M_tot**: 0.63 Bohr magnetons per cell
**Electronic total energy**: -9.561 eV per atom
**E_form**: 0.81 eV/f.u.

Unit cell a=2.733 b=2.733 c=8.737 alpha=81.00 beta=81.00 gamma=60.00
Each line ends with the local moment (μB).
Positions (direct):
Ni 0.000 0.000 0.000  0.37
Ru 0.255 0.255 0.235  0.13
Ru 0.745 0.745 0.765  0.13
Ta 0.500 0.500 0.500  0.00

=====

Entry 7:
DFT (GGA-PBEsol) results for TaNiRu2 after structural relaxation.

**Symmetry**: No. 8
**V**: 55.0 Å³/f.u.
**M_tot**: 0.00 Bohr magnetons per cell
**Electronic total energy**: -9.817 eV per atom
**E_form**: -0.21 eV/f.u.

Unit cell a=2.835 b=4.486 c=4.647 alpha=101.54 beta=107.76 gamma=90.00
Positions (direct):
Ni 0.747 0.253 0.495
Ru 0.002 0.990 0.005
Ru 0.255 0.774 0.510
Ta 0.495 0.483 0.991

=====

Entry 8:
DFT (GGA-PBEsol) results for TaNiRu2 after structural relaxation.

**Symmetry**: No. 225
**V**: 55.0 Å³/f.u.
**M_tot**: 0.00 Bohr magnetons per cell
**Electronic total energy**: -9.833 eV per atom
**E_form**: -0.28 eV/f.u.

Unit cell a=4.270 b=4.270 c=4.270 alpha=60.00 beta=60.00 gamma=60.00
Positions (direct):
Ni 0.000 0.000 0.000
Ru 0.250 0.250 0.250
Ru 0.750 0.750 0.750
Ta 0.500 0.500 0.500

=====

Entry 9:
DFT (GGA-PBEsol) results for TaNiRu2 after structural relaxation.

**Symmetry**: No. 99
**V**: 55.2 Å³/f.u.
**M_tot**: 0.00 Bohr magnetons per cell
**Electronic total energy**: -9.771 eV per atom
**E_form**: -0.03 eV/f.u.

Unit cell a=3.165 b=3.165 c=5.514 alpha=90.00 beta=90.00 gamma=90.00
Positions (direct):
Ni 0.500 0.500 0.762
Ru 0.000 0.000 0.969
Ru 0.500 0.500 0.251
Ta 0.000 0.000 0.518

=====

Entry 10:
DFT (GGA-PBEsol) results for TaNiRu2 after structural relaxation.

**Symmetry**: No. 119
**V**: 54.3 Å³/f.u.
**M_tot**: 0.00 Bohr magnetons per cell
**Electronic total energy**: -9.948 eV per atom
**E_form**: -0.74 eV/f.u.

Unit cell a=3.769 b=3.769 c=4.663 alpha=113.84 beta=113.84 gamma=90.00
Positions (direct):
Ru 0.500 0.500 0.000
Ru 0.750 0.250 0.500
Ni 0.250 0.750 0.500
Ta 0.000 0.000 0.000

=====

Entry 11:
DFT (GGA-PBEsol) results for Ta2NiRu after structural relaxation.

**Symmetry**: No. 160
**V**: 61.9 Å³/f.u.
**M_tot**: 0.00 Bohr magnetons per cell
**Electronic total energy**: -10.185 eV per atom
**E_form**: 0.69 eV/f.u.

Unit cell a=2.958 b=2.958 c=8.345 alpha=79.79 beta=79.79 gamma=60.00
Positions (direct):
Ni 0.499 0.499 0.502
Ru 0.249 0.249 0.253
Ta 0.995 0.995 0.014
Ta 0.757 0.757 0.730

=====

Entry 12:
DFT (GGA-PBEsol) results for TaNiRu2 after structural relaxation.

**Symmetry**: No. 123
**V**: 54.1 Å³/f.u.
**M_tot**: 0.00 Bohr magnetons per cell
**Electronic total energy**: -10.029 eV per atom
**E_form**: -1.06 eV/f.u.

Unit cell a=3.720 b=3.813 c=3.813 alpha=90.00 beta=90.00 gamma=90.00
Positions (direct):
Ru 0.000 0.000 0.500
Ru 0.000 0.500 0.000
Ta 0.500 0.500 0.500
Ni 0.500 0.000 0.000

=====

Entry 13:
DFT (GGA-PBEsol) results for Ta2Ni2Ru after structural relaxation.

**Symmetry**: No. 127
**V**: 69.1 Å³/f.u.
**M_tot**: 0.00 Bohr magnetons per cell
**Electronic total energy**: -9.784 eV per atom
**E_form**: -1.33 eV/f.u.

Unit cell a=3.106 b=6.670 c=6.670 alpha=90.00 beta=90.00 gamma=90.00
Positions (direct):
Ru 0.000 0.000 0.000
Ru 0.000 0.500 0.500
Ni 0.000 0.377 0.877
Ni 0.000 0.877 0.623
Ni 0.000 0.623 0.123
Ni 0.000 0.123 0.377
Ta 0.500 0.180 0.680
Ta 0.500 0.680 0.820
Ta 0.500 0.820 0.320
Ta 0.500 0.320 0.180

=====

Entry 14:
DFT (GGA-PBEsol) results for TcNi2Ru after structural relaxation.

**Symmetry**: No. 25
**V**: 48.3 Å³/f.u.
**M_tot**: 0.00 Bohr magnetons per cell
**Energy above the lowest structure with this stoichiometry**: 0.027 eV/atom
**Electronic total energy**: -8.398 eV per atom
**E_form**: 0.16 eV/f.u.

Unit cell a=2.627 b=3.605 c=5.102 alpha=90.00 beta=90.00 gamma=90.00
Positions (direct):
Ru 0.000 0.000 0.499
Tc 0.500 0.500 0.753
Ni 0.000 0.000 0.011
Ni 0.500 0.500 0.237

=====

Entry 15:
DFT (GGA-PBEsol) results for TcNi2Ru after structural relaxation.

**Symmetry**: No. 8
**V**: 48.2 Å³/f.u.
**M_tot**: 0.00 Bohr magnetons per cell
**Energy above the lowest structure with this stoichiometry**: 0.037 eV/atom
**Electronic total energy**: -8.388 eV per atom
**E_form**: 0.20 eV/f.u.

Unit cell a=2.584 b=4.428 c=4.469 alpha=99.69 beta=106.80 gamma=90.00
Positions (direct):
Ru 0.504 0.498 0.007
Tc 0.747 0.251 0.494
Ni 0.999 0.989 0.997
Ni 0.251 0.762 0.502

=====

Entry 16:
DFT (GGA-PBEsol) results for TcNi2Ru after structural relaxation.

**Symmetry**: No. 119
**V**: 48.0 Å³/f.u.
**M_tot**: 0.00 Bohr magnetons per cell
**Energy above the lowest structure with this stoichiometry**: 0.000 eV/atom
**Electronic total energy**: -8.425 eV per atom
**E_form**: 0.05 eV/f.u.

Unit cell a=3.626 b=3.626 c=4.462 alpha=113.97 beta=113.97 gamma=90.00
Positions (direct):
Ru 0.500 0.500 0.000
Tc 0.250 0.750 0.500
Ni 0.000 0.000 0.000
Ni 0.750 0.250 0.500

=====

Entry 17:
DFT (GGA-PBEsol) results for TcNi2Ru after structural relaxation.

**Symmetry**: No. 38
**V**: 47.9 Å³/f.u.
**M_tot**: 0.00 Bohr magnetons per cell
**Energy above the lowest structure with this stoichiometry**: 0.049 eV/atom
**Electronic total energy**: -8.376 eV per atom
**E_form**: 0.25 eV/f.u.

Unit cell a=2.542 b=3.973 c=4.910 alpha=90.00 beta=105.00 gamma=90.00
Positions (direct):
Ni 0.186 0.000 0.372
Ni 0.057 0.500 0.114
Ru 0.446 0.000 0.893
Tc 0.797 0.500 0.594

=====

Entry 18:
DFT (GGA-PBEsol) results for Ni3TeRu after structural relaxation.

**Symmetry**: No. 221
**Formation energy without anion corrections**: 1210 meV/atom
**V**: 86.7 Å³/f.u.
**M_tot**: 0.00 Bohr magnetons per cell
**Electronic total energy**: -5.224 eV per atom

Unit cell a=4.425 b=4.425 c=4.425 alpha=90.00 beta=90.00 gamma=90.00
Positions (direct):
Ru 0.000 0.000 0.000
Te 0.500 0.500 0.500
Ni 0.000 0.500 0.000
Ni 0.000 0.000 0.500
Ni 0.500 0.000 0.000

=====

Entry 19:
DFT (GGA-PBEsol) results for TlNiRu2 after structural relaxation.

**Symmetry**: No. 8
**V**: 58.9 Å³/f.u.
**M_tot**: 0.00 Bohr magnetons per cell
**Energy above the lowest structure with this stoichiometry**: 0.000 eV/atom
**Electronic total energy**: -6.842 eV per atom
**E_form**: 1.76 eV/f.u.

Unit cell a=2.848 b=4.608 c=4.789 alpha=99.42 beta=90.00 gamma=108.00
Positions (direct):
Ni 0.745 0.489 0.237
Ru 0.000 0.001 0.982
Ru 0.257 0.515 0.803
Tl 0.498 0.996 0.479

=====

Entry 20:
DFT (GGA-PBEsol) results for TlNiRu2 after structural relaxation.

**Symmetry**: No. 123
**V**: 58.5 Å³/f.u.
**M_tot**: 0.00 Bohr magnetons per cell
**Energy above the lowest structure with this stoichiometry**: 0.056 eV/atom
**Electronic total energy**: -6.786 eV per atom
**E_form**: 1.99 eV/f.u.

Unit cell a=2.979 b=2.979 c=6.593 alpha=90.00 beta=90.00 gamma=90.00
Positions (direct):
Ni 0.500 0.500 0.500
Ru 0.000 0.000 0.702
Ru 0.000 0.000 0.298
Tl 0.500 0.500 0.000